{
  "formula": "Li4Mn3OF11",
  "functional": "PBE+U",
  "state": "optimized geometry",
  "final_energy_ev_per_atom": -5.4999,
  "relative_energy_ev_per_atom": 0.0104,
  "lattice_angstrom": [[-4.461, -0.098, -4.195], [-1.940, -3.800, 3.598], [-1.243, 5.418, 3.992]],
  "species": ["Li", "Li", "Li", "Li", "F", "F", "F", "F", "F", "F", "F", "F", "F", "F", "F", "Mn", "Mn", "Mn", "O"],
  "fractional_positions": [[0.918, 0.962, 0.911], [0.637, 0.183, 0.192], [0.827, 0.729, 0.434], [0.684, 0.426, 0.789], [0.400, 0.910, 0.163], [0.861, 0.411, 0.587], [0.959, 0.651, 0.993], [0.648, 0.120, 0.915], [0.135, 0.252, 0.041], [0.658, 0.776, 0.637], [0.174, 0.603, 0.393], [0.107, 0.947, 0.706], [0.398, 0.165, 0.549], [0.915, 0.063, 0.343], [0.568, 0.509, 0.215], [0.265, 0.581, 0.097], [0.387, 0.854, 0.683], [0.130, 0.306, 0.564], [0.330, 0.553, 0.788]]
}